Dy2Si9Ru3 | PBE | relaxed

a = 7.663 Å, b = 7.663 Å, c = 9.740 Å
α = 92.88°, β = 106.74°, γ = 124.75°
Sites, in units of the cell vectors:
Dy 0.648 0.752 0.239
Dy 0.352 0.248 0.761
Ru 0.500 0.000 0.000
Si 0.881 0.860 0.573
Si 0.232 0.511 0.595
Ru 0.865 0.667 0.013
Dy 0.013 0.410 0.261
Si 0.547 0.196 0.551
Si 0.119 0.140 0.427
Si 0.584 0.363 0.095
Ru 0.500 0.500 0.500
Si 0.855 0.004 0.051
Ru 0.135 0.333 0.987
Si 0.827 0.077 0.750
Si 0.768 0.489 0.405
Si 0.787 0.308 0.927
Si 0.563 0.085 0.272
Si 0.416 0.637 0.905
Si 0.312 0.291 0.228
Si 0.688 0.709 0.772
Si 0.453 0.804 0.449
Si 0.173 0.923 0.250
Si 0.213 0.692 0.073
Si 0.145 0.996 0.949
Ru 0.846 0.149 0.513
Si 0.437 0.915 0.728
Dy 0.987 0.590 0.739
Ru 0.154 0.851 0.487

Computed properties:
Total magnetic moment   0.000 μB/atom
DOS(E_F)   6.28 states/eV per cell
VASP energy   -185.875 eV for the cell shown
Energy relative to the elements, uncorrected   -507 meV per atom